No. 1
! BaSb4Ir (PBE, relaxed); values from VASP
! Theoretical density: 7.9 g cm⁻³
! Formation energy (no corrections): 0.37 eV per atom
&SYSTEM
  ibrav = 0, nat = 6, ntyp = 3
/
ATOMIC_SPECIES
Ba 137.33 Ba.upf
Sb 121.76 Sb.upf
Ir 192.22 Ir.upf
CELL_PARAMETERS angstrom
5.2197 -3.3660 -0.6969
2.2022 -3.3762 4.7763
-0.3062 -6.2398 -0.1804
ATOMIC_POSITIONS crystal
Ba 0.7500 0.7500 0.7500
Sb 0.8802 0.3733 0.3733
Sb 0.3733 0.3733 0.8802
Sb 0.3733 0.8802 0.3733
Sb 0.3733 0.3733 0.3733
Ir 0.0000 0.0000 0.0000

=====

No. 2
! Ba3SbIr (PBE, relaxed); values from VASP
! Theoretical density: 5.7 g cm⁻³
! Formation energy (no corrections): -0.43 eV per atom
&SYSTEM
  ibrav = 0, nat = 5, ntyp = 3
/
ATOMIC_SPECIES
Ir 192.22 Ir.upf
Sb 121.76 Sb.upf
Ba 137.33 Ba.upf
CELL_PARAMETERS angstrom
-4.3470 -2.7897 2.9377
-1.7132 -2.6388 -5.0409
3.6712 -4.5346 1.1262
ATOMIC_POSITIONS crystal
Ir 0.0000 0.0000 0.0000
Sb 0.5000 0.5000 0.5000
Ba 0.5000 0.0000 0.0000
Ba 0.0000 0.5000 0.0000
Ba 0.0000 0.0000 0.5000

=====

No. 3
! BaSb2Ir (PBE, relaxed); values from VASP
! Theoretical density: 8.4 g cm⁻³
! Formation energy (no corrections): -0.08 eV per atom
&SYSTEM
  ibrav = 0, nat = 4, ntyp = 3
/
ATOMIC_SPECIES
Ba 137.33 Ba.upf
Ir 192.22 Ir.upf
Sb 121.76 Sb.upf
CELL_PARAMETERS angstrom
-3.1719 -0.9946 0.7282
0.9710 -0.7774 3.1675
-2.1712 9.0347 2.8828
ATOMIC_POSITIONS crystal
Ba 0.0000 0.0000 0.5382
Ir 0.5000 0.5000 0.7875
Sb 0.5000 0.5000 0.2532
Sb 0.0000 0.0000 0.9211

=====

No. 4
! BaSb2Ir (PBE, relaxed); values from VASP
! Theoretical density: 8.7 g cm⁻³
! Formation energy (no corrections): -0.13 eV per atom
&SYSTEM
  ibrav = 0, nat = 4, ntyp = 3
/
ATOMIC_SPECIES
Ba 137.33 Ba.upf
Sb 121.76 Sb.upf
Ir 192.22 Ir.upf
CELL_PARAMETERS angstrom
-2.1992 -2.4477 1.7853
0.0547 -2.2378 -3.0007
6.3214 -3.6242 2.8181
ATOMIC_POSITIONS crystal
Ba 0.0000 0.0000 0.5113
Sb 0.5000 0.5000 0.1981
Sb 0.0000 0.0000 0.9440
Ir 0.5000 0.5000 0.8465

=====

No. 5
! BaSbIr2 (PBE, relaxed); values from VASP
! Theoretical density: 12.0 g cm⁻³
! Formation energy (no corrections): 0.72 eV per atom
&SYSTEM
  ibrav = 0, nat = 4, ntyp = 3
/
ATOMIC_SPECIES
Ba 137.33 Ba.upf
Sb 121.76 Sb.upf
Ir 192.22 Ir.upf
CELL_PARAMETERS angstrom
5.0175 0.0000 0.0000
2.5087 4.3452 0.0000
2.5087 1.4484 4.0967
ATOMIC_POSITIONS crystal
Ba 0.5000 0.5000 0.5000
Sb 0.7500 0.7500 0.7500
Ir 0.2500 0.2500 0.2500
Ir 0.0000 0.0000 0.0000

=====

No. 6
! BaSb2Ir (PBE, relaxed); values from VASP
! Theoretical density: 8.4 g cm⁻³
! Formation energy (no corrections): -0.23 eV per atom
&SYSTEM
  ibrav = 0, nat = 4, ntyp = 3
/
ATOMIC_SPECIES
Ba 137.33 Ba.upf
Sb 121.76 Sb.upf
Ir 192.22 Ir.upf
CELL_PARAMETERS angstrom
-4.9415 6.1292 -2.2731
-7.6634 2.7370 0.9656
7.1855 -2.8772 2.6910
ATOMIC_POSITIONS crystal
Ba 0.4442 0.4442 0.0000
Sb 0.7625 0.2625 0.5000
Sb 0.0861 0.0861 0.0000
Ir 0.2073 0.7073 0.5000

=====

No. 7
! BaSb2Ir (PBE, relaxed); values from VASP
! Theoretical density: 7.4 g cm⁻³
! Formation energy (no corrections): -0.35 eV per atom
&SYSTEM
  ibrav = 0, nat = 4, ntyp = 3
/
ATOMIC_SPECIES
Ba 137.33 Ba.upf
Ir 192.22 Ir.upf
Sb 121.76 Sb.upf
CELL_PARAMETERS angstrom
-2.9142 2.3225 -2.8055
1.7807 -2.3132 -3.7648
-3.9218 -4.1630 0.6275
ATOMIC_POSITIONS crystal
Ba 0.0000 0.3864 0.5498
Ir 0.5000 0.8575 0.8483
Sb 0.5000 0.3620 0.0461
Sb 0.0000 0.8941 0.0558

=====

No. 8
! BaSbIr2 (PBE, relaxed); values from VASP
! Theoretical density: 10.2 g cm⁻³
! Formation energy (no corrections): -0.21 eV per atom
&SYSTEM
  ibrav = 0, nat = 4, ntyp = 3
/
ATOMIC_SPECIES
Ir 192.22 Ir.upf
Sb 121.76 Sb.upf
Ba 137.33 Ba.upf
CELL_PARAMETERS angstrom
-1.9203 -4.1600 -0.1097
2.1885 -3.4823 -2.0222
2.6238 -3.8493 4.2730
ATOMIC_POSITIONS crystal
Ir 0.4409 0.4409 0.6774
Ir 0.0591 0.0591 0.8226
Sb 0.7500 0.7500 0.7500
Ba 0.2500 0.2500 0.2500

=====

No. 9
! BaSb2Ir (PBE, relaxed); values from VASP
! Theoretical density: 8.3 g cm⁻³
! Formation energy (no corrections): -0.32 eV per atom
&SYSTEM
  ibrav = 0, nat = 4, ntyp = 3
/
ATOMIC_SPECIES
Ir 192.22 Ir.upf
Sb 121.76 Sb.upf
Ba 137.33 Ba.upf
CELL_PARAMETERS angstrom
-6.2206 0.4760 -0.2819
-5.2966 -2.4448 -2.2296
-3.5159 -3.5526 3.6595
ATOMIC_POSITIONS crystal
Ir 0.2500 0.2500 0.2500
Sb 0.5604 0.5604 0.4393
Sb 0.9396 0.9396 0.0607
Ba 0.7500 0.7500 0.7500

=====

No. 10
! Ba2Sb4Ir3 (PBE, relaxed); values from VASP
! Theoretical density: 9.3 g cm⁻³
! Formation energy (no corrections): -0.45 eV per atom
&SYSTEM
  ibrav = 0, nat = 9, ntyp = 3
/
ATOMIC_SPECIES
Sb 121.76 Sb.upf
Ir 192.22 Ir.upf
Ba 137.33 Ba.upf
CELL_PARAMETERS angstrom
6.2059 -0.1450 0.0000
-3.0126 5.4276 0.0000
-1.5966 -2.6413 7.1781
ATOMIC_POSITIONS crystal
Sb 0.6977 0.0237 0.7215
Sb 0.3023 0.9763 0.2785
Sb 0.9763 0.3023 0.2785
Sb 0.0237 0.6977 0.7215
Ir 0.0000 0.5000 0.0000
Ir 0.5000 0.0000 0.0000
Ir 0.0000 0.0000 0.0000
Ba 0.3693 0.3693 0.7386
Ba 0.6307 0.6307 0.2614

=====

No. 11
! BaSb2Ir (PBE, relaxed); values from VASP
! Theoretical density: 8.3 g cm⁻³
! Formation energy (no corrections): -0.58 eV per atom
&SYSTEM
  ibrav = 0, nat = 4, ntyp = 3
/
ATOMIC_SPECIES
Sb 121.76 Sb.upf
Ir 192.22 Ir.upf
Ba 137.33 Ba.upf
CELL_PARAMETERS angstrom
4.3599 0.0085 -0.0012
2.1713 3.7808 -0.0012
2.1777 1.2634 6.9395
ATOMIC_POSITIONS crystal
Sb 0.9485 0.9485 0.1546
Sb 0.7178 0.7178 0.8468
Ir 0.3287 0.3287 0.0142
Ba 0.5050 0.5050 0.4845

=====

No. 12
! BaSbIr2 (PBE, relaxed); values from VASP
! Theoretical density: 12.3 g cm⁻³
! Formation energy (no corrections): 0.45 eV per atom
&SYSTEM
  ibrav = 0, nat = 4, ntyp = 3
/
ATOMIC_SPECIES
Sb 121.76 Sb.upf
Ir 192.22 Ir.upf
Ba 137.33 Ba.upf
CELL_PARAMETERS angstrom
5.1384 0.0045 0.0000
0.8148 5.0733 0.0000
-2.9766 -2.5389 3.3311
ATOMIC_POSITIONS crystal
Sb 0.2500 0.7500 0.5000
Ir 0.0000 0.0000 0.0000
Ir 0.5000 0.5000 0.0000
Ba 0.7500 0.2500 0.5000

=====

No. 13
! BaSbIr2 (PBE, relaxed); values from VASP
! Theoretical density: 12.2 g cm⁻³
! Formation energy (no corrections): 0.43 eV per atom
&SYSTEM
  ibrav = 0, nat = 4, ntyp = 3
/
ATOMIC_SPECIES
Sb 121.76 Sb.upf
Ir 192.22 Ir.upf
Ba 137.33 Ba.upf
CELL_PARAMETERS angstrom
3.9860 0.0000 0.0000
0.0000 4.6870 0.0000
0.0000 0.0000 4.6870
ATOMIC_POSITIONS crystal
Sb 0.5000 0.5000 0.0000
Ir 0.0000 0.5000 0.5000
Ir 0.0000 0.0000 0.0000
Ba 0.5000 0.0000 0.5000

=====

No. 14
! BaSbIr2 (PBE, relaxed); values from VASP
! Theoretical density: 11.6 g cm⁻³
! Formation energy (no corrections): 0.14 eV per atom
&SYSTEM
  ibrav = 0, nat = 4, ntyp = 3
/
ATOMIC_SPECIES
Ir 192.22 Ir.upf
Sb 121.76 Sb.upf
Ba 137.33 Ba.upf
CELL_PARAMETERS angstrom
-0.7242 2.9033 0.7227
-1.4394 0.5521 -3.6605
-6.7848 -2.2712 2.3255
ATOMIC_POSITIONS crystal
Ir 0.0000 0.0000 0.0688
Ir 0.5000 0.5000 0.2279
Sb 0.0000 0.0000 0.4173
Ba 0.5000 0.5000 0.7860

=====

No. 15
! BaSb2Ir (PBE, relaxed); values from VASP
! Theoretical density: 9.2 g cm⁻³
! Formation energy (no corrections): 0.14 eV per atom
&SYSTEM
  ibrav = 0, nat = 4, ntyp = 3
/
ATOMIC_SPECIES
Ir 192.22 Ir.upf
Sb 121.76 Sb.upf
Ba 137.33 Ba.upf
CELL_PARAMETERS angstrom
0.5644 1.1195 5.1105
-3.4882 3.1151 2.4119
-3.3432 -2.0264 3.5222
ATOMIC_POSITIONS crystal
Ir 0.5000 0.5000 0.5000
Sb 0.2500 0.2500 0.2500
Sb 0.7500 0.7500 0.7500
Ba 0.0000 0.0000 0.0000

=====

No. 16
! BaSb12Ir4 (PBE, relaxed); values from VASP
! Theoretical density: 9.2 g cm⁻³
! Formation energy (no corrections): -0.39 eV per atom
&SYSTEM
  ibrav = 0, nat = 17, ntyp = 3
/
ATOMIC_SPECIES
Sb 121.76 Sb.upf
Ba 137.33 Ba.upf
Ir 192.22 Ir.upf
CELL_PARAMETERS angstrom
8.2331 0.0000 0.0000
-2.7444 7.7622 0.0000
-2.7444 -3.8811 6.7223
ATOMIC_POSITIONS crystal
Sb 0.4995 0.1570 0.3425
Sb 0.1855 0.8430 0.3425
Sb 0.1570 0.6575 0.8145
Sb 0.6575 0.8145 0.1570
Sb 0.1570 0.3425 0.4995
Sb 0.3425 0.1855 0.8430
Sb 0.8145 0.1570 0.6575
Sb 0.3425 0.4995 0.1570
Sb 0.5005 0.8430 0.6575
Sb 0.8430 0.3425 0.1855
Sb 0.6575 0.5005 0.8430
Sb 0.8430 0.6575 0.5005
Ba 0.0000 0.0000 0.0000
Ir 0.5000 0.0000 0.0000
Ir 0.0000 0.5000 0.0000
Ir 0.5000 0.5000 0.5000
Ir 0.0000 0.0000 0.5000

=====

No. 17
! BaSbIr2 (PBE, relaxed); values from VASP
! Theoretical density: 10.2 g cm⁻³
! Formation energy (no corrections): -0.31 eV per atom
&SYSTEM
  ibrav = 0, nat = 4, ntyp = 3
/
ATOMIC_SPECIES
Ba 137.33 Ba.upf
Ir 192.22 Ir.upf
Sb 121.76 Sb.upf
CELL_PARAMETERS angstrom
4.4453 -0.0133 0.0076
2.2310 3.8449 0.0076
2.2188 1.2734 6.0968
ATOMIC_POSITIONS crystal
Ba 0.2619 0.2619 0.2138
Ir 0.7244 0.7244 0.8264
Ir 0.0566 0.0566 0.8305
Sb 0.4571 0.4571 0.6292

=====

No. 18
! BaSb3Ir (PBE, relaxed); values from VASP
! Theoretical density: 5.0 g cm⁻³
! Formation energy (no corrections): 2.02 eV per atom
! Excess energy over the best structure of this formula in the dataset: 2499 meV/atom
&SYSTEM
  ibrav = 0, nat = 5, ntyp = 3
/
ATOMIC_SPECIES
Ir 192.22 Ir.upf
Sb 121.76 Sb.upf
Ba 137.33 Ba.upf
CELL_PARAMETERS angstrom
6.1156 0.0000 0.0000
0.0000 6.1156 0.0000
0.0000 0.0000 6.1156
ATOMIC_POSITIONS crystal
Ir 0.5000 0.5000 0.5000
Sb 0.5000 0.0000 0.0000
Sb 0.0000 0.0000 0.5000
Sb 0.0000 0.5000 0.0000
Ba 0.0000 0.0000 0.0000

=====

No. 19
! BaSbIr2 (PBE, relaxed); values from VASP
! Theoretical density: 9.2 g cm⁻³
! Formation energy (no corrections): -0.13 eV per atom
&SYSTEM
  ibrav = 0, nat = 4, ntyp = 3
/
ATOMIC_SPECIES
Ir 192.22 Ir.upf
Ba 137.33 Ba.upf
Sb 121.76 Sb.upf
CELL_PARAMETERS angstrom
-1.5540 2.5838 3.0018
3.0212 -2.2728 3.5203
4.5798 2.8977 -0.1233
ATOMIC_POSITIONS crystal
Ir 0.0000 0.9918 0.1837
Ir 0.5000 0.2222 0.2137
Ba 0.5000 0.8050 0.7584
Sb 0.0000 0.4810 0.3442

=====

No. 20
! BaSb2Ir (PBE, relaxed); values from VASP
! Theoretical density: 9.1 g cm⁻³
! Formation energy (no corrections): 0.12 eV per atom
&SYSTEM
  ibrav = 0, nat = 4, ntyp = 3
/
ATOMIC_SPECIES
Sb 121.76 Sb.upf
Ir 192.22 Ir.upf
Ba 137.33 Ba.upf
CELL_PARAMETERS angstrom
-4.1718 1.8107 1.0247
-0.7575 -3.4642 3.0376
1.2436 -0.8352 6.5390
ATOMIC_POSITIONS crystal
Sb 0.0000 0.0000 0.0000
Sb 0.5000 0.5000 0.0000
Ir 0.0000 0.0000 0.5000
Ba 0.5000 0.5000 0.5000

=====

No. 21
! BaSb2Ir (PBE, relaxed); values from VASP
! Theoretical density: 8.1 g cm⁻³
! Formation energy (no corrections): -0.55 eV per atom
&SYSTEM
  ibrav = 0, nat = 8, ntyp = 3
/
ATOMIC_SPECIES
Ba 137.33 Ba.upf
Sb 121.76 Sb.upf
Ir 192.22 Ir.upf
CELL_PARAMETERS angstrom
-6.2397 -0.3941 -1.2619
-2.4164 -4.7327 -3.6964
-3.9814 -4.0161 4.8219
ATOMIC_POSITIONS crystal
Ba 0.8716 0.2500 0.2567
Ba 0.1284 0.7500 0.7433
Sb 0.5453 0.8832 0.2357
Sb 0.4547 0.1168 0.7643
Sb 0.7810 0.3832 0.7643
Sb 0.2190 0.6168 0.2357
Ir 0.2623 0.2500 0.4754
Ir 0.7377 0.7500 0.5246

=====

No. 22
! BaSbIr2 (PBE, relaxed); values from VASP
! Theoretical density: 12.1 g cm⁻³
! Formation energy (no corrections): 0.55 eV per atom
&SYSTEM
  ibrav = 0, nat = 4, ntyp = 3
/
ATOMIC_SPECIES
Ir 192.22 Ir.upf
Sb 121.76 Sb.upf
Ba 137.33 Ba.upf
CELL_PARAMETERS angstrom
-0.7301 2.1677 5.2641
3.0727 -2.3705 4.2287
1.0420 2.0710 -5.2505
ATOMIC_POSITIONS crystal
Ir 0.0000 0.0000 0.0000
Ir 0.2500 0.7500 0.5000
Sb 0.5000 0.5000 0.0000
Ba 0.7500 0.2500 0.5000

=====

No. 23
! BaSb2Ir (PBE, relaxed); values from VASP
! Theoretical density: 9.4 g cm⁻³
! Formation energy (no corrections): -0.12 eV per atom
&SYSTEM
  ibrav = 0, nat = 4, ntyp = 3
/
ATOMIC_SPECIES
Ir 192.22 Ir.upf
Ba 137.33 Ba.upf
Sb 121.76 Sb.upf
CELL_PARAMETERS angstrom
3.4211 0.0000 0.0000
0.0000 3.5559 0.0000
0.0000 0.0000 8.3352
ATOMIC_POSITIONS crystal
Ir 0.5000 0.5000 0.7500
Ba 0.5000 0.5000 0.2500
Sb 0.0000 0.0000 0.9341
Sb 0.0000 0.0000 0.5659

=====

No. 24
! BaSb2Ir (PBE, relaxed); values from VASP
! Theoretical density: 8.1 g cm⁻³
! Formation energy (no corrections): -0.52 eV per atom
&SYSTEM
  ibrav = 0, nat = 4, ntyp = 3
/
ATOMIC_SPECIES
Sb 121.76 Sb.upf
Ba 137.33 Ba.upf
Ir 192.22 Ir.upf
CELL_PARAMETERS angstrom
4.3708 0.0000 0.0000
0.0000 5.3371 -0.0310
0.0000 1.8087 5.0209
ATOMIC_POSITIONS crystal
Sb 0.0000 0.5729 0.5723
Sb 0.0000 0.9271 0.9277
Ba 0.5000 0.2500 0.2500
Ir 0.5000 0.7500 0.7500

=====

No. 25
! BaSb2Ir (PBE, relaxed); values from VASP
! Theoretical density: 9.1 g cm⁻³
! Formation energy (no corrections): 0.19 eV per atom
&SYSTEM
  ibrav = 0, nat = 4, ntyp = 3
/
ATOMIC_SPECIES
Ba 137.33 Ba.upf
Ir 192.22 Ir.upf
Sb 121.76 Sb.upf
CELL_PARAMETERS angstrom
5.7667 -0.0154 0.0000
1.9058 5.4427 0.0000
-3.8362 -2.7136 3.3428
ATOMIC_POSITIONS crystal
Ba 0.5000 0.5000 0.0000
Ir 0.7500 0.2500 0.5000
Sb 0.2500 0.7500 0.5000
Sb 0.0000 0.0000 0.0000

=====

No. 26
! BaSb3Ir (PBE, relaxed); values from VASP
! Theoretical density: 7.8 g cm⁻³
! Formation energy (no corrections): -0.48 eV per atom
! Excess energy over the best structure of this formula in the dataset: 0 meV/atom
&SYSTEM
  ibrav = 0, nat = 10, ntyp = 3
/
ATOMIC_SPECIES
Ir 192.22 Ir.upf
Sb 121.76 Sb.upf
Ba 137.33 Ba.upf
CELL_PARAMETERS angstrom
6.2454 -0.0002 0.0000
0.0002 6.8419 -0.0011
0.0001 0.0011 6.9208
ATOMIC_POSITIONS crystal
Ir 0.1584 0.7548 0.7008
Ir 0.6584 0.5979 0.2008
Sb 0.4665 0.8400 0.4512
Sb 0.9665 0.5128 0.9512
Sb 0.3456 0.3543 0.2008
Sb 0.9665 0.5128 0.4503
Sb 0.4665 0.8400 0.9503
Sb 0.8456 0.9984 0.7008
Ba 0.4411 0.3287 0.7007
Ba 0.9411 0.0242 0.2008

=====

No. 27
! Ba2Sn3SbIr4 (PBE, relaxed); values from VASP
! Theoretical density: 10.6 g cm⁻³
! Formation energy (no corrections): -0.43 eV per atom
&SYSTEM
  ibrav = 0, nat = 10, ntyp = 4
/
ATOMIC_SPECIES
Sb 121.76 Sb.upf
Sn 118.71 Sn.upf
Ir 192.22 Ir.upf
Ba 137.33 Ba.upf
CELL_PARAMETERS angstrom
-3.4680 1.6932 2.6386
-3.1291 -2.1130 -2.7568
0.4512 -8.8588 6.2778
ATOMIC_POSITIONS crystal
Sb 0.5000 0.5000 0.5000
Sn 0.0000 0.0000 0.5000
Sn 0.5000 0.0000 0.8737
Sn 0.0000 0.5000 0.1263
Ir 0.5000 0.0000 0.6228
Ir 0.0000 0.5000 0.3772
Ir 0.0000 0.0000 0.0000
Ir 0.5000 0.5000 0.0000
Ba 0.5000 0.0000 0.2477
Ba 0.0000 0.5000 0.7523

=====

No. 28
! BaSb2TeIr (PBE, relaxed); values from VASP
! Theoretical density: 4.7 g cm⁻³
! Formation energy (no corrections): 1.86 eV per atom
! Excess energy over the best structure of this formula in the dataset: 2136 meV/atom
&SYSTEM
  ibrav = 0, nat = 5, ntyp = 4
/
ATOMIC_SPECIES
Te 127.60 Te.upf
Sb 121.76 Sb.upf
Ba 137.33 Ba.upf
Ir 192.22 Ir.upf
CELL_PARAMETERS angstrom
-2.8177 -5.3944 1.5163
5.0651 -3.1779 -1.8932
2.3797 0.3714 5.7433
ATOMIC_POSITIONS crystal
Te 0.0000 0.0000 0.5000
Sb 0.0000 0.5000 0.0000
Sb 0.5000 0.0000 0.0000
Ba 0.0000 0.0000 0.0000
Ir 0.5000 0.5000 0.5000